1.
Computed, not measured: an optimized crystal structure of Rb4Pm3AlSe8 at the PBE-GGA level of DFT.

a = 8.5054 Å, b = 8.5054 Å, c = 24.0256 Å
α = 90.00°, β = 90.00°, γ = 120.00°
With the nearest neighbours (Å) after each atom.
Space group R-3m (No. 166, hexagonal axes)
One atom of each set of equivalent atoms:
1 Rb 0.0000 0.0000 0.0000 (multiplicity 3)  6 Se 3.63
2 Rb 0.0000 0.5000 0.0000 (multiplicity 9)  6 Se 3.42-3.43
3 Pm 0.0000 0.5000 0.5000 (multiplicity 9)  6 Se 2.94-2.97
4 Al 0.0000 0.0000 0.5000 (multiplicity 3)  6 Se 2.72
5 Se 0.0000 0.0000 0.2342 (multiplicity 6)  3 Pm 2.94
6 Se 0.0264 0.5132 0.2298 (multiplicity 18)  1 Al 2.72, 2 Pm 2.97

Crystal system = trigonal
Formation energy (no corrections) = -2310 kJ/mol of formula units
Uncorrected energy = -4.605 eV/atom

---

2.
Computed, not measured: an optimized crystal structure of TbTmGa2Au2 at the PBE-GGA level of DFT.

a = 4.5205 Å, b = 4.5205 Å, c = 7.0851 Å
α = 90.00°, β = 90.00°, γ = 120.00°
With the nearest neighbours (Å) after each atom.
Space group P-3m1 (No. 164)
One atom of each set of equivalent atoms:
1 Tb 0.0000 0.0000 0.0000 (multiplicity 1)  6 Ga 3.18, 6 Au 3.20, 2 Tm 3.54
2 Tm 0.0000 0.0000 0.5000 (multiplicity 1)  6 Au 3.11, 6 Ga 3.13
3 Ga 0.3333 0.6667 0.7432 (multiplicity 2)  3 Au 2.61
4 Au 0.3333 0.6667 0.2614 (multiplicity 2)  3 Ga 2.61

Energy of formation from the pure elements = -0.786 eV per atom
D(E_F) = 2.43 states/eV/cell
Crystal system = trigonal
Uncorrected energy = -4.404 eV/atom

---

3.
Computed, not measured: an optimized crystal structure of CaTe2Pd7 at the PBE-GGA level of DFT.

a = 4.2587 Å, b = 4.2587 Å, c = 21.1716 Å
α = 90.00°, β = 90.00°, γ = 90.00°
With the nearest neighbours (Å) after each atom.
Space group I4/mmm (No. 139)
One atom of each set of equivalent atoms:
1 Ca 0.0000 0.0000 0.0000 (multiplicity 2)  12 Pd 2.94-3.01
2 Te 0.0000 0.0000 0.3298 (multiplicity 4)  8 Pd 2.65-2.72
3 Pd 0.0000 0.0000 0.5000 (multiplicity 2)  8 Pd 2.94, 4 Ca 3.01
4 Pd 0.0000 0.5000 0.0956 (multiplicity 8)  2 Te 2.65, 2 Ca 2.94, 2 Pd 2.94
5 Pd 0.0000 0.5000 0.2500 (multiplicity 4)  4 Te 2.72, 4 Pd 3.01

D(E_F) = 10.89 states/eV/cell
Crystal system = tetragonal
Formation energy (no corrections) = -370 kJ/mol of formula units
Uncorrected energy = -4.847 eV/atom

---

4.
Computed, not measured: an optimized crystal structure of RbNa2CaAs at the PBE-GGA level of DFT.

a = 5.9834 Å, b = 5.9834 Å, c = 5.7195 Å
α = 90.00°, β = 90.00°, γ = 90.00°
With the nearest neighbours (Å) after each atom.
Space group P4/mmm (No. 123)
One atom of each set of equivalent atoms:
1 Rb 0.0000 0.0000 0.0000 (multiplicity 1)  8 Na 4.14, 4 Ca 4.23
2 Na 0.0000 0.5000 0.5000 (multiplicity 2)  2 As 2.99
3 Ca 0.5000 0.5000 0.0000 (multiplicity 1)  2 As 2.86
4 As 0.5000 0.5000 0.5000 (multiplicity 1)  2 Ca 2.86, 4 Na 2.99

Energy of formation from the pure elements = -0.290 eV per atom
D(E_F) = 1.48 states/eV/cell
Crystal system = tetragonal
Uncorrected energy = -2.341 eV/atom

---

5.
Computed, not measured: an optimized crystal structure of Tm5TiRu6 at the PBE-GGA level of DFT.

a = 4.6757 Å, b = 13.9976 Å, c = 6.6467 Å
α = 90.00°, β = 90.00°, γ = 90.00°
With the nearest neighbours (Å) after each atom.
Space group Cmmm (No. 65)
One atom of each set of equivalent atoms:
1 Tm 0.0000 0.0000 0.0000 (multiplicity 2)  8 Ru 2.82-2.93
2 Tm 0.0000 0.3335 0.0000 (multiplicity 4)  8 Ru 2.90-2.98
3 Tm 0.0000 0.3348 0.5000 (multiplicity 4)  8 Ru 2.79-2.93
4 Ti 0.0000 0.0000 0.5000 (multiplicity 2)  8 Ru 2.75-2.81
5 Ru 0.0000 0.1594 0.2587 (multiplicity 8)  1 Ti 2.75, 7 Tm 2.82-2.98
6 Ru 0.0000 0.5000 0.2648 (multiplicity 4)  6 Tm 2.79-2.93, 2 Ti 2.81, 1 Ru 3.13

Energy of formation from the pure elements = -0.445 eV per atom
D(E_F) = 23.46 states/eV/cell
Crystal system = orthorhombic
Uncorrected energy = -7.604 eV/atom

---

6.
Computed, not measured: an optimized crystal structure of CaFeSe at the PBE-GGA level of DFT.

a = 3.4331 Å, b = 3.4331 Å, c = 10.3346 Å
α = 90.00°, β = 90.00°, γ = 90.00°
With the nearest neighbours (Å) after each atom.
Space group I4mm (No. 107)
One atom of each set of equivalent atoms:
1 Ca 0.0000 0.0000 0.0000 (multiplicity 2)  5 Fe 3.07-3.21, 5 Se 3.08-3.20, 4 Ca 3.43
2 Fe 0.0000 0.0000 0.7033 (multiplicity 2)  4 Se 2.62
3 Se 0.0000 0.0000 0.2984 (multiplicity 2)  4 Fe 2.62

D(E_F) = 5.50 states/eV/cell
Crystal system = tetragonal
Polymorph energy (0 for the lowest one) = 0.3116 eV per atom
Formation energy (no corrections) = -76 kJ/mol of formula units
Uncorrected energy = -4.913 eV/atom